Record 1
A relaxed structure of GdThScNb, computed with PBE.

Output
Crystal system = cubic
Energy relative to the elements = 0.2052 eV/atom

a = 7.423 Å, b = 7.423 Å, c = 7.423 Å
α = 90.00°, β = 90.00°, γ = 90.00°
Space group F-43m (No. 216)
Asymmetric unit:
Gd 0.000 0.000 0.000
Th 0.000 0.000 0.500
Sc 0.250 0.250 0.250
Nb 0.250 0.250 0.750



Record 2
A relaxed structure of Sm2GdNb, computed with PBE.

Output
Crystal system = trigonal
Energy relative to the elements = 0.5671 eV/atom

a = 3.3402 Å, b = 3.3402 Å, c = 35.2512 Å
α = 90.00°, β = 90.00°, γ = 120.00°
Space group R-3m (No. 166, hexagonal axes)
Asymmetric unit:
Sm 0.0000 0.0000 0.0826
Gd 0.0000 0.0000 0.5000
Nb 0.0000 0.0000 0.0000



Record 3
A relaxed structure of GdNbSn2, computed with PBE.

Output
Crystal system = trigonal
Energy relative to the elements = 0.1150 eV/atom

a = 3.2574 Å, b = 3.2574 Å, c = 33.2461 Å
α = 90.00°, β = 90.00°, γ = 120.00°
Space group R-3m (No. 166, hexagonal axes)
Asymmetric unit:
Gd 0.0000 0.0000 0.0000
Nb 0.0000 0.0000 0.5000
Sn 0.0000 0.0000 0.0961



Record 4
A relaxed structure of GdNbSn2, computed with PBE.

Output
Crystal system = tetragonal
Energy relative to the elements = -0.2641 eV/atom

a = 3.689 Å, b = 3.689 Å, c = 6.905 Å
α = 90.00°, β = 90.00°, γ = 90.00°
Space group P4/mmm (No. 123)
Asymmetric unit:
Gd 0.000 0.000 0.000
Nb 0.000 0.000 0.500
Sn 0.500 0.500 0.286



Record 5
A relaxed structure of GdNbTc2, computed with PBE.

Output
Crystal system = tetragonal
Energy relative to the elements = -0.0528 eV/atom

a = 3.272 Å, b = 3.272 Å, c = 6.834 Å
α = 90.00°, β = 90.00°, γ = 90.00°
Space group P4/mmm (No. 123)
Asymmetric unit:
Gd 0.000 0.000 0.000
Nb 0.000 0.000 0.500
Tc 0.500 0.500 0.280



Record 6
A relaxed structure of GdThNb4, computed with PBE.

Output
Crystal system = cubic
Energy relative to the elements = 0.1119 eV/atom

a = 8.138 Å, b = 8.138 Å, c = 8.138 Å
α = 90.00°, β = 90.00°, γ = 90.00°
Space group F-43m (No. 216)
Asymmetric unit:
Gd 0.000 0.000 0.000
Th 0.250 0.250 0.250
Nb 0.125 0.125 0.625



| no. | total energy (eV per atom) | M_tot (μB per cell) | volume (Å³ per cell) |
| --- | --- | --- | --- |
| 1 | -9.270 | 29.32 | 409.0 |
| 2 | -7.830 | 21.40 | 340.6 |
| 3 | -7.924 | 22.70 | 305.5 |
| 4 | -8.303 | 7.44 | 94.0 |
| 5 | -11.273 | 6.82 | 73.2 |
| 6 | -10.185 | 28.70 | 539.0 |